Entry 1:
{"formula": "Sr4LiP", "functional": "GGA-PBE", "state": "relaxed", "spacegroup": "No. 216", "formation_enthalpy_0k_ev_per_atom": 0.534, "lattice": [[-1.4141, -7.0074, -0.5420], [-5.4150, -2.8627, 3.7256], [-5.9136, -2.2113, -3.3965]], "species": ["Sr", "Sr", "Sr", "Sr", "P", "Li"], "fractional_positions": [[0.3740, 0.3740, 0.3740], [0.3740, 0.3740, 0.8779], [0.8779, 0.3740, 0.3740], [0.3740, 0.8779, 0.3740], [0.0000, 0.0000, 0.0000], [0.7500, 0.7500, 0.7500]]}

=====

Entry 2:
{"formula": "SrLiTcP2", "functional": "GGA-PBE", "state": "relaxed", "spacegroup": "No. 119", "formation_enthalpy_0k_ev_per_atom": -0.685, "lattice": [[-2.6713, 2.9839, -0.0101], [-2.6663, -2.3931, -1.7898], [0.7004, -2.0398, 6.1646]], "species": ["Sr", "P", "P", "Li", "Tc"], "fractional_positions": [[0.0000, 0.0000, 0.0000], [0.3561, 0.3561, 0.7122], [0.6439, 0.6439, 0.2878], [0.2500, 0.7500, 0.5000], [0.7500, 0.2500, 0.5000]]}

=====

Entry 3:
{"formula": "Sr2LiTeP", "functional": "GGA-PBE", "state": "relaxed", "formation_energy_uncorrected_mev_per_atom": -1132, "spacegroup": "No. 123", "lattice": [[-1.8989, -1.2892, -5.3789], [4.4967, -3.6716, -0.7074], [-2.5611, -3.4712, 1.7361]], "species": ["Sr", "Sr", "P", "Li", "Te"], "fractional_positions": [[0.5000, 0.0000, 0.0000], [0.0000, 0.5000, 0.0000], [0.0000, 0.0000, 0.0000], [0.0000, 0.0000, 0.5000], [0.5000, 0.5000, 0.5000]]}